# GGA+U RbMn2BiF8, optimized geometry
# Raw total energy, eV/atom: -5.472
# Mass density, g/cm3: 4.3
# Space-group type: P-1, No. 2
data_RbMn2BiF8
_cell_length_a 5.397
_cell_length_b 5.380
_cell_length_c 7.526
_cell_angle_alpha 86.38
_cell_angle_beta 86.36
_cell_angle_gamma 85.34
_space_group_name_H-M_alt 'P 1'
_space_group_IT_number 1
_space_group_name_Hall 'P 1'
loop_
_atom_site_label
_atom_site_fract_x
_atom_site_fract_y
_atom_site_fract_z
_atom_site_occupancy
F1 0.289 0.290 0.953 1
F2 0.231 0.782 0.786 1
F3 0.661 0.660 0.508 1
F4 0.781 0.230 0.787 1
F5 0.219 0.770 0.213 1
F6 0.769 0.218 0.214 1
F7 0.711 0.710 0.047 1
F8 0.339 0.340 0.492 1
Rb1 0.000 0.000 0.500 1
Bi1 0.000 0.000 0.000 1
Mn1 0.469 0.469 0.726 1
Mn2 0.531 0.531 0.274 1